# NaCd12Pt6

A relaxed structure of NaCd12Pt6 (PBE, the Alexandria database).

Output
Density of states at the Fermi level in states/eV per atom: 0.53
Energy in eV/atom: -2.73
Symmetry: R-3m

a = 7.880 Å, b = 7.880 Å, c = 7.880 Å
α = 106.26°, β = 106.26°, γ = 106.26°
Fractional coordinates of all 19 atoms:
Na: 0.000 0.000 0.000
Cd: 0.117 0.500 0.883
Cd: 0.117 0.883 0.500
Cd: 0.131 0.387 0.387
Cd: 0.387 0.131 0.387
Cd: 0.387 0.387 0.131
Cd: 0.500 0.117 0.883
Cd: 0.500 0.883 0.117
Cd: 0.613 0.613 0.869
Cd: 0.613 0.869 0.613
Cd: 0.869 0.613 0.613
Cd: 0.883 0.117 0.500
Cd: 0.883 0.500 0.117
Pt: 0.282 0.282 0.692
Pt: 0.282 0.692 0.282
Pt: 0.308 0.718 0.718
Pt: 0.692 0.282 0.282
Pt: 0.718 0.308 0.718
Pt: 0.718 0.718 0.308